(1)
A plane-wave DFT calculation with PBE was carried out for crystalline KF8 at its relaxed geometry.

Calculated values
E_form (uncorrected) ... -0.4467 eV/atom
Calculated total energy ... -2.232 eV/atom
Magnetization ... 0.333 μB/atom

Cell lengths 6.317, 6.317, 6.317 Å; angles 98.92, 98.92, 133.61 degrees
Fractional coordinates of all 9 atoms:
K1 0.000 0.000 0.000
F1 0.000 0.413 0.413
F2 0.000 0.587 0.587
F3 0.372 0.372 0.744
F4 0.372 0.628 0.000
F5 0.413 0.000 0.413
F6 0.587 0.000 0.587
F7 0.628 0.372 0.000
F8 0.628 0.628 0.256



(2)
A plane-wave DFT calculation with PBE was carried out for crystalline KF at its relaxed geometry.

Calculated values
E_form (uncorrected) ... -2.6422 eV/atom
Calculated total energy ... -4.127 eV/atom
Magnetization ... 0.052 μB/atom

Cell lengths 4.199, 4.199, 4.199 Å; angles 60.00, 60.00, 60.00 degrees
Fractional coordinates of all 2 atoms:
K1 0.000 0.000 0.000
F1 0.250 0.250 0.250



(3)
A plane-wave DFT calculation with PBE was carried out for crystalline K5F4 at its relaxed geometry.

Calculated values
E_form (uncorrected) ... -2.2901 eV/atom
Calculated total energy ... -3.732 eV/atom
Magnetization ... 0.009 μB/atom

Cell lengths 8.018, 8.018, 8.018 Å; angles 93.23, 93.23, 152.54 degrees
Fractional coordinates of all 9 atoms:
K1 0.000 0.000 0.000
K2 0.228 0.598 0.826
K3 0.402 0.228 0.630
K4 0.598 0.772 0.370
K5 0.772 0.402 0.174
F1 0.119 0.807 0.926
F2 0.193 0.119 0.312
F3 0.807 0.881 0.688
F4 0.881 0.193 0.074



(4)
A plane-wave DFT calculation with PBE was carried out for crystalline KF6 at its relaxed geometry.

Calculated values
E_form (uncorrected) ... -0.7529 eV/atom
Calculated total energy ... -2.514 eV/atom
Magnetization ... 0.145 μB/atom
Energy relative to the lowest polymorph listed for this composition ... 0.000 eV per atom

Cell lengths 3.879, 3.879, 7.690 Å; angles 90.00, 90.00, 90.00 degrees
Fractional coordinates of all 7 atoms:
K1 0.000 0.000 0.000
F1 0.000 0.500 0.407
F2 0.000 0.500 0.593
F3 0.500 0.000 0.407
F4 0.500 0.000 0.593
F5 0.500 0.500 0.128
F6 0.500 0.500 0.872



(5)
A plane-wave DFT calculation with PBE was carried out for crystalline K5F6 at its relaxed geometry.

Calculated values
E_form (uncorrected) ... -2.4579 eV/atom
Calculated total energy ... -3.977 eV/atom
Magnetization ... 0.107 μB/atom

Cell lengths 6.745, 6.745, 6.577 Å; angles 99.63, 99.63, 120.06 degrees
Fractional coordinates of all 11 atoms:
K1 0.000 0.000 0.000
K2 0.168 0.832 0.500
K3 0.346 0.654 0.000
K4 0.654 0.346 0.000
K5 0.832 0.168 0.500
F1 0.049 0.410 0.230
F2 0.229 0.229 0.759
F3 0.410 0.049 0.230
F4 0.590 0.951 0.770
F5 0.771 0.771 0.241
F6 0.951 0.590 0.770



(6)
A plane-wave DFT calculation with PBE was carried out for crystalline KF at its relaxed geometry.

Calculated values
E_form (uncorrected) ... -2.6354 eV/atom
Calculated total energy ... -4.120 eV/atom
Magnetization ... 0.053 μB/atom

Cell lengths 7.273, 7.273, 7.273 Å; angles 90.00, 90.00, 90.00 degrees
Fractional coordinates of all 12 atoms:
K1 0.000 0.250 0.500
K2 0.000 0.750 0.500
K3 0.250 0.500 0.000
K4 0.500 0.000 0.250
K5 0.500 0.000 0.750
K6 0.750 0.500 0.000
F1 0.000 0.500 0.250
F2 0.000 0.500 0.750
F3 0.250 0.000 0.500
F4 0.500 0.250 0.000
F5 0.500 0.750 0.000
F6 0.750 0.000 0.500



(7)
A plane-wave DFT calculation with PBE was carried out for crystalline KF5 at its relaxed geometry.

Calculated values
E_form (uncorrected) ... -0.9505 eV/atom
Calculated total energy ... -2.693 eV/atom
Magnetization ... 0.006 μB/atom

Cell lengths 7.438, 7.438, 7.438 Å; angles 135.70, 135.70, 64.44 degrees
Fractional coordinates of all 12 atoms:
K1 0.375 0.625 0.750
K2 0.625 0.375 0.250
F1 0.125 0.875 0.250
F2 0.159 0.263 0.604
F3 0.159 0.555 0.896
F4 0.263 0.159 0.104
F5 0.445 0.841 0.604
F6 0.555 0.159 0.396
F7 0.737 0.841 0.896
F8 0.841 0.445 0.104
F9 0.841 0.737 0.396
F10 0.875 0.125 0.750



(8)
A plane-wave DFT calculation with PBE was carried out for crystalline KF at its relaxed geometry.

Calculated values
E_form (uncorrected) ... -2.6933 eV/atom
Calculated total energy ... -4.178 eV/atom
Magnetization ... 0.046 μB/atom

Cell lengths 4.545, 4.545, 5.354 Å; angles 90.00, 90.00, 120.00 degrees
Fractional coordinates of all 4 atoms:
K1 0.333 0.667 0.250
K2 0.667 0.333 0.750
F1 0.333 0.667 0.750
F2 0.667 0.333 0.250



(9)
A plane-wave DFT calculation with PBE was carried out for crystalline KF at its relaxed geometry.

Calculated values
E_form (uncorrected) ... -2.6305 eV/atom
Calculated total energy ... -4.115 eV/atom
Magnetization ... 0.051 μB/atom

Cell lengths 7.764, 7.764, 7.764 Å; angles 94.86, 94.86, 146.16 degrees
Fractional coordinates of all 8 atoms:
K1 0.118 0.706 0.824
K2 0.294 0.118 0.412
K3 0.706 0.882 0.588
K4 0.882 0.294 0.176
F1 0.124 0.297 0.420
F2 0.297 0.876 0.173
F3 0.703 0.124 0.827
F4 0.876 0.703 0.580



(10)
A plane-wave DFT calculation with PBE was carried out for crystalline K3F4 at its relaxed geometry.

Calculated values
E_form (uncorrected) ... -2.3097 eV/atom
Calculated total energy ... -3.849 eV/atom
Magnetization ... 0.154 μB/atom

Cell lengths 10.705, 10.705, 10.705 Å; angles 160.35, 160.35, 27.93 degrees
Fractional coordinates of all 7 atoms:
K1 0.000 0.000 0.000
K2 0.179 0.179 0.000
K3 0.821 0.821 0.000
F1 0.309 0.309 0.000
F2 0.447 0.447 0.000
F3 0.553 0.553 0.000
F4 0.691 0.691 0.000



(11)
A plane-wave DFT calculation with PBE was carried out for crystalline K2F3 at its relaxed geometry.

Calculated values
E_form (uncorrected) ... -2.1235 eV/atom
Calculated total energy ... -3.685 eV/atom
Magnetization ... 0.201 μB/atom

Cell lengths 6.737, 6.737, 6.737 Å; angles 61.47, 61.47, 61.47 degrees
Fractional coordinates of all 10 atoms:
K1 0.137 0.137 0.137
K2 0.363 0.363 0.363
K3 0.637 0.637 0.637
K4 0.863 0.863 0.863
F1 0.032 0.750 0.468
F2 0.250 0.532 0.968
F3 0.468 0.032 0.750
F4 0.532 0.968 0.250
F5 0.750 0.468 0.032
F6 0.968 0.250 0.532



(12)
A plane-wave DFT calculation with PBE was carried out for crystalline K3F at its relaxed geometry.

Calculated values
E_form (uncorrected) ... -1.2506 eV/atom
Calculated total energy ... -2.542 eV/atom
Magnetization ... 0.000 μB/atom
Energy relative to the lowest polymorph listed for this composition ... 0.000 eV per atom

Cell lengths 7.527, 7.527, 7.527 Å; angles 151.36, 66.60, 121.30 degrees
Fractional coordinates of all 4 atoms:
K1 0.000 0.000 0.000
K2 0.280 0.424 0.856
K3 0.569 0.424 0.144
F1 0.282 0.782 0.500



What is the formula in the fourth record? KF6